BaY3Be, optimized geometry, DFT PBEsol; VASP energy = -19.1 eV/cell; calculated formation energy = 145.6 kJ per mole of atoms
1.0
5.540 0.000 0.000
0.000 5.540 0.000
0.000 0.000 5.540
Ba Y Be
1 3 1
Cartesian
0.000 0.000 0.000
0.000 0.000 2.770
0.000 2.770 0.000
2.770 0.000 0.000
2.770 2.770 2.770